Record 1
This record from Alexandria via LeMat-Bulk describes crystalline NdGa2Ag2 at its relaxed geometry. The functional is PBE.

abc: 4.4060 4.4060 10.7058
angles: 90.00 90.00 90.00
Element x y z (fractional)
Nd1 0.0000 0.0000 0.0000
Nd2 0.5000 0.5000 0.5000
Ga1 0.0000 0.0000 0.3862
Ga2 0.0000 0.0000 0.6138
Ga3 0.5000 0.5000 0.1138
Ga4 0.5000 0.5000 0.8862
Ag1 0.0000 0.5000 0.2500
Ag2 0.0000 0.5000 0.7500
Ag3 0.5000 0.0000 0.2500
Ag4 0.5000 0.0000 0.7500

ΔH_f (0 K) ... -2.0 eV per formula unit



Record 2
This record from Alexandria via LeMat-Bulk describes crystalline Ac4TlIr2Pd at its relaxed geometry. The functional is PBE.

abc: 7.1710 7.1710 17.3923
angles: 90.00 90.00 144.17
Element x y z (fractional)
Ac1 0.0000 0.0000 0.0000
Ac2 0.0000 0.0000 0.5000
Ac3 0.2756 0.7244 0.5881
Ac4 0.2756 0.7244 0.9119
Ac5 0.4134 0.5866 0.2500
Ac6 0.5866 0.4134 0.7500
Ac7 0.7244 0.2756 0.0881
Ac8 0.7244 0.2756 0.4119
Tl1 0.1197 0.8803 0.2500
Tl2 0.8803 0.1197 0.7500
Ir1 0.3712 0.6288 0.0671
Ir2 0.3712 0.6288 0.4329
Ir3 0.6288 0.3712 0.5671
Ir4 0.6288 0.3712 0.9329
Pd1 0.2491 0.7509 0.7500
Pd2 0.7509 0.2491 0.2500

ΔH_f (0 K) ... -3.9 eV per formula unit



Record 3
This record from Alexandria via LeMat-Bulk describes crystalline PmZn6Au2 at its relaxed geometry. The functional is PBE.

abc: 3.9428 3.9428 10.4803
angles: 90.00 90.00 90.00
Element x y z (fractional)
Pm1 0.0000 0.0000 0.0000
Zn1 0.0000 0.0000 0.5000
Zn2 0.0000 0.5000 0.3112
Zn3 0.0000 0.5000 0.6888
Zn4 0.5000 0.0000 0.3112
Zn5 0.5000 0.0000 0.6888
Zn6 0.5000 0.5000 0.5000
Au1 0.5000 0.5000 0.1357
Au2 0.5000 0.5000 0.8643

ΔH_f (0 K) ... -2.6 eV per formula unit



Record 4
This record from Alexandria via LeMat-Bulk describes crystalline AlGaAg6 at its relaxed geometry. The functional is PBE.

abc: 4.0982 4.0982 8.2271
angles: 90.00 90.00 90.00
Element x y z (fractional)
Al1 0.0000 0.0000 0.0000
Ga1 0.0000 0.0000 0.5000
Ag1 0.0000 0.5000 0.2470
Ag2 0.0000 0.5000 0.7530
Ag3 0.5000 0.0000 0.2470
Ag4 0.5000 0.0000 0.7530
Ag5 0.5000 0.5000 0.0000
Ag6 0.5000 0.5000 0.5000

ΔH_f (0 K) ... 0.0 eV per formula unit



Record 5
This record from Alexandria via LeMat-Bulk describes crystalline BaZnAgAu at its relaxed geometry. The functional is PBE.

abc: 8.0906 4.6852 6.2430
angles: 90.00 115.77 90.00
Element x y z (fractional)
Ba1 0.0000 0.0000 0.0000
Ba2 0.5000 0.5000 0.0000
Zn1 0.0098 0.5000 0.5298
Zn2 0.5098 0.0000 0.5298
Ag1 0.3011 0.5000 0.4046
Ag2 0.8011 0.0000 0.4046
Au1 0.2017 0.0000 0.6051
Au2 0.7017 0.5000 0.6051

ΔH_f (0 K) ... -1.6 eV per formula unit



Record 6
This record from Alexandria via LeMat-Bulk describes crystalline ZrPbW2 at its relaxed geometry. The functional is PBE.

abc: 3.7901 4.4442 4.5420
angles: 90.00 90.00 90.00
Element x y z (fractional)
Zr1 0.0000 0.0000 0.0000
Pb1 0.5000 0.5000 0.0000
W1 0.0000 0.5000 0.5000
W2 0.5000 0.0000 0.5000

ΔH_f (0 K) ... 2.1 eV per formula unit